Here is a relaxed Cs2YFe2O6 crystal from Alexandria via LeMat-Bulk. Energies are from GGA+U.

Cell lengths 6.2384, 6.2384, 18.1882 Å; angles 90.00, 90.00, 120.00 degrees
Space group R-3m (No. 166, hexagonal axes)
Unique sites:
Cs: 0.0000 0.0000 0.2208 x6
Y: 0.0000 0.0000 0.0000 x3
Fe: 0.0000 0.0000 0.4221 x6
O: 0.0061 0.5031 0.2575 x18

Computed properties:
Density of states at the Fermi level (states/eV/f.u.): 6.60
ρ (g cm⁻³): 4.6
Volume (Å³ per cell): 613
Uncorrected energy (eV/atom): -6.130